(1)
Material: K4MgZnSn2
Method: DFT, PBE
State: relaxed Values from VASP.

Calculated values
Uncorrected energy in eV/cell: -16.7

```
&SYSTEM
  ibrav = 0, nat = 8, ntyp = 4
/
ATOMIC_SPECIES
K 39.10 K.upf
Mg 24.30 Mg.upf
Zn 65.41 Zn.upf
Sn 118.71 Sn.upf
CELL_PARAMETERS angstrom
4.316 -5.483 0.000
4.316 5.483 0.000
-0.194 0.000 6.325
ATOMIC_POSITIONS crystal
K 0.033 0.688 0.752
K 0.312 0.967 0.248
K 0.688 0.033 0.752
K 0.967 0.312 0.248
Mg 0.500 0.500 0.500
Zn 0.500 0.500 0.000
Sn 0.244 0.244 0.759
Sn 0.756 0.756 0.241
```

(2)
Material: KMgTa
Method: DFT, PBE
State: relaxed Values from VASP.

Calculated values
Excess energy over the best structure of this formula in the dataset in meV per atom: 0

```
&SYSTEM
  ibrav = 0, nat = 3, ntyp = 3
/
ATOMIC_SPECIES
K 39.10 K.upf
Mg 24.30 Mg.upf
Ta 180.95 Ta.upf
CELL_PARAMETERS angstrom
0.000 3.725 3.725
3.725 0.000 3.725
3.725 3.725 0.000
ATOMIC_POSITIONS crystal
K 0.000 0.000 0.000
Mg 0.250 0.250 0.250
Ta 0.500 0.500 0.500
```

(3)
Material: KThMg
Method: DFT, PBE
State: relaxed Values from VASP.

Calculated values
Uncorrected energy in eV/cell: -6.2

```
&SYSTEM
  ibrav = 0, nat = 3, ntyp = 3
/
ATOMIC_SPECIES
K 39.10 K.upf
Th 232.04 Th.upf
Mg 24.30 Mg.upf
CELL_PARAMETERS angstrom
0.000 3.974 3.974
3.974 0.000 3.974
3.974 3.974 0.000
ATOMIC_POSITIONS crystal
K 0.000 0.000 0.000
Th 0.250 0.250 0.250
Mg 0.500 0.500 0.500
```

(4)
Material: KTmMg
Method: DFT, PBE
State: relaxed Values from VASP.

Calculated values
Uncorrected energy in eV/cell: -4.4

```
&SYSTEM
  ibrav = 0, nat = 3, ntyp = 3
/
ATOMIC_SPECIES
K 39.10 K.upf
Tm 168.93 Tm.upf
Mg 24.30 Mg.upf
CELL_PARAMETERS angstrom
0.000 3.999 3.999
3.999 0.000 3.999
3.999 3.999 0.000
ATOMIC_POSITIONS crystal
K 0.000 0.000 0.000
Tm 0.250 0.250 0.250
Mg 0.500 0.500 0.500
```

(5)
Material: K2Mo
Method: DFT, PBE
State: relaxed Values from VASP.

Calculated values
Excess energy over the best structure of this formula in the dataset in meV per atom: 533

```
&SYSTEM
  ibrav = 0, nat = 6, ntyp = 2
/
ATOMIC_SPECIES
K 39.10 K.upf
Mo 95.94 Mo.upf
CELL_PARAMETERS angstrom
0.000 5.067 5.067
5.067 0.000 5.067
5.067 5.067 0.000
ATOMIC_POSITIONS crystal
K 0.000 0.000 0.000
K 0.000 0.000 0.500
K 0.000 0.500 0.000
K 0.500 0.000 0.000
Mo 0.375 0.375 0.375
Mo 0.625 0.625 0.625
```

(6)
Material: K2Mo
Method: DFT, PBE
State: relaxed Values from VASP.

Calculated values
Excess energy over the best structure of this formula in the dataset in meV per atom: 0

```
&SYSTEM
  ibrav = 0, nat = 12, ntyp = 2
/
ATOMIC_SPECIES
K 39.10 K.upf
Mo 95.94 Mo.upf
CELL_PARAMETERS angstrom
8.028 0.000 0.000
-4.014 6.953 0.000
0.000 0.000 9.573
ATOMIC_POSITIONS crystal
K 0.000 0.000 0.000
K 0.000 0.000 0.500
K 0.189 0.379 0.250
K 0.189 0.811 0.250
K 0.379 0.189 0.750
K 0.621 0.811 0.250
K 0.811 0.189 0.750
K 0.811 0.621 0.750
Mo 0.333 0.667 0.646
Mo 0.333 0.667 0.854
Mo 0.667 0.333 0.146
Mo 0.667 0.333 0.354
```

(7)
Material: KMo
Method: DFT, PBE
State: relaxed Values from VASP.

Calculated values
Excess energy over the best structure of this formula in the dataset in meV per atom: 0

```
&SYSTEM
  ibrav = 0, nat = 2, ntyp = 2
/
ATOMIC_SPECIES
K 39.10 K.upf
Mo 95.94 Mo.upf
CELL_PARAMETERS angstrom
2.853 0.000 0.000
-1.427 2.471 0.000
0.000 0.000 6.261
ATOMIC_POSITIONS crystal
K 0.000 0.000 0.000
Mo 0.667 0.333 0.500
```

(8)
Material: KMoN2
Method: DFT, PBE
State: relaxed Values from VASP.

Calculated values
Excess energy over the best structure of this formula in the dataset in meV per atom: 0

```
&SYSTEM
  ibrav = 0, nat = 8, ntyp = 3
/
ATOMIC_SPECIES
K 39.10 K.upf
Mo 95.94 Mo.upf
N 14.01 N.upf
CELL_PARAMETERS angstrom
-2.877 2.877 4.355
2.877 -2.877 4.355
2.877 2.877 -4.355
ATOMIC_POSITIONS crystal
K 0.000 0.000 0.000
K 0.750 0.250 0.500
Mo 0.250 0.750 0.500
Mo 0.500 0.500 0.000
N 0.272 0.125 0.647
N 0.375 0.728 0.853
N 0.478 0.625 0.353
N 0.875 0.522 0.147
```

(9)
Material: K2MoPN4
Method: DFT, PBE
State: relaxed Values from VASP.

Calculated values
Uncorrected energy in eV/cell: -55.1

```
&SYSTEM
  ibrav = 0, nat = 8, ntyp = 4
/
ATOMIC_SPECIES
K 39.10 K.upf
Mo 95.94 Mo.upf
P 30.97 P.upf
N 14.01 N.upf
CELL_PARAMETERS angstrom
-2.789 2.789 3.964
2.789 -2.789 3.964
2.789 2.789 -3.964
ATOMIC_POSITIONS crystal
K 0.000 0.000 0.000
K 0.750 0.250 0.500
Mo 0.500 0.500 0.000
P 0.250 0.750 0.500
N 0.280 0.637 0.185
N 0.363 0.548 0.644
N 0.452 0.095 0.815
N 0.905 0.720 0.356
```

(10)
Material: KRbMo2N4
Method: DFT, PBE
State: relaxed Values from VASP.

Calculated values
Uncorrected energy in eV/cell: -60.1

```
&SYSTEM
  ibrav = 0, nat = 8, ntyp = 4
/
ATOMIC_SPECIES
K 39.10 K.upf
Rb 85.47 Rb.upf
Mo 95.94 Mo.upf
N 14.01 N.upf
CELL_PARAMETERS angstrom
-2.866 2.866 4.488
2.866 -2.866 4.488
2.866 2.866 -4.488
ATOMIC_POSITIONS crystal
K 0.000 0.000 0.000
Rb 0.250 0.750 0.500
Mo 0.500 0.500 0.000
Mo 0.750 0.250 0.500
N 0.125 0.469 0.840
N 0.531 0.371 0.655
N 0.629 0.284 0.160
N 0.716 0.875 0.345
```

(11)
Material: K2ReMoN4
Method: DFT, PBE
State: relaxed Values from VASP.

Calculated values
Uncorrected energy in eV/cell: -60.9

```
&SYSTEM
  ibrav = 0, nat = 8, ntyp = 4
/
ATOMIC_SPECIES
K 39.10 K.upf
Re 186.21 Re.upf
Mo 95.94 Mo.upf
N 14.01 N.upf
CELL_PARAMETERS angstrom
-2.923 2.923 4.194
2.923 -2.923 4.194
2.923 2.923 -4.194
ATOMIC_POSITIONS crystal
K 0.000 0.000 0.000
K 0.750 0.250 0.500
Re 0.500 0.500 0.000
Mo 0.250 0.750 0.500
N 0.276 0.624 0.148
N 0.376 0.524 0.652
N 0.476 0.129 0.852
N 0.871 0.724 0.348
```

(12)
Material: K2MoSN4
Method: DFT, PBE
State: relaxed Values from VASP.

Calculated values
Uncorrected energy in eV/cell: -49.9

```
&SYSTEM
  ibrav = 0, nat = 8, ntyp = 4
/
ATOMIC_SPECIES
K 39.10 K.upf
Mo 95.94 Mo.upf
S 32.06 S.upf
N 14.01 N.upf
CELL_PARAMETERS angstrom
-2.771 2.771 3.960
2.771 -2.771 3.960
2.771 2.771 -3.960
ATOMIC_POSITIONS crystal
K 0.000 0.000 0.000
K 0.750 0.250 0.500
Mo 0.500 0.500 0.000
S 0.250 0.750 0.500
N 0.270 0.641 0.184
N 0.359 0.543 0.629
N 0.457 0.086 0.816
N 0.914 0.730 0.371
```

(13)
Material: K2SnMoN4
Method: DFT, PBE
State: relaxed Values from VASP.

Calculated values
Uncorrected energy in eV/cell: -52.0

```
&SYSTEM
  ibrav = 0, nat = 8, ntyp = 4
/
ATOMIC_SPECIES
K 39.10 K.upf
Sn 118.71 Sn.upf
Mo 95.94 Mo.upf
N 14.01 N.upf
CELL_PARAMETERS angstrom
-2.928 2.928 4.234
2.928 -2.928 4.234
2.928 2.928 -4.234
ATOMIC_POSITIONS crystal
K 0.000 0.000 0.000
K 0.750 0.250 0.500
Sn 0.500 0.500 0.000
Mo 0.250 0.750 0.500
N 0.241 0.636 0.136
N 0.364 0.500 0.605
N 0.500 0.105 0.864
N 0.895 0.759 0.395
```

(14)
Material: K2MoWN4
Method: DFT, PBE
State: relaxed Values from VASP.

Calculated values
Uncorrected energy in eV/cell: -62.6

```
&SYSTEM
  ibrav = 0, nat = 8, ntyp = 4
/
ATOMIC_SPECIES
K 39.10 K.upf
Mo 95.94 Mo.upf
W 183.84 W.upf
N 14.01 N.upf
CELL_PARAMETERS angstrom
-2.902 2.902 4.289
2.902 -2.902 4.289
2.902 2.902 -4.289
ATOMIC_POSITIONS crystal
K 0.000 0.000 0.000
K 0.750 0.250 0.500
Mo 0.250 0.750 0.500
W 0.500 0.500 0.000
N 0.272 0.625 0.146
N 0.375 0.521 0.647
N 0.479 0.127 0.854
N 0.873 0.728 0.353
```

(15)
Material: KNaMoPd
Method: DFT, PBE
State: relaxed Values from VASP.

Calculated values
Excess energy over the best structure of this formula in the dataset in meV per atom: 0

```
&SYSTEM
  ibrav = 0, nat = 4, ntyp = 4
/
ATOMIC_SPECIES
K 39.10 K.upf
Na 22.99 Na.upf
Mo 95.94 Mo.upf
Pd 106.42 Pd.upf
CELL_PARAMETERS angstrom
0.000 3.610 3.610
3.610 0.000 3.610
3.610 3.610 0.000
ATOMIC_POSITIONS crystal
K 0.000 0.000 0.000
Na 0.750 0.750 0.750
Mo 0.500 0.500 0.500
Pd 0.250 0.250 0.250
```

(16)
Material: KNaMoPd
Method: DFT, PBE
State: relaxed Values from VASP.

Calculated values
Excess energy over the best structure of this formula in the dataset in meV per atom: 14

```
&SYSTEM
  ibrav = 0, nat = 4, ntyp = 4
/
ATOMIC_SPECIES
K 39.10 K.upf
Na 22.99 Na.upf
Mo 95.94 Mo.upf
Pd 106.42 Pd.upf
CELL_PARAMETERS angstrom
0.000 3.586 3.586
3.586 0.000 3.586
3.586 3.586 0.000
ATOMIC_POSITIONS crystal
K 0.000 0.000 0.000
Na 0.250 0.250 0.250
Mo 0.750 0.750 0.750
Pd 0.500 0.500 0.500
```

(17)
Material: KNaMoPd
Method: DFT, PBE
State: relaxed Values from VASP.

Calculated values
Excess energy over the best structure of this formula in the dataset in meV per atom: 209

```
&SYSTEM
  ibrav = 0, nat = 4, ntyp = 4
/
ATOMIC_SPECIES
K 39.10 K.upf
Na 22.99 Na.upf
Mo 95.94 Mo.upf
Pd 106.42 Pd.upf
CELL_PARAMETERS angstrom
0.000 3.681 3.681
3.681 0.000 3.681
3.681 3.681 0.000
ATOMIC_POSITIONS crystal
K 0.000 0.000 0.000
Na 0.500 0.500 0.500
Mo 0.250 0.250 0.250
Pd 0.750 0.750 0.750
```

(18)
Material: KNaMoPt
Method: DFT, PBE
State: relaxed Values from VASP.

Calculated values
Excess energy over the best structure of this formula in the dataset in meV per atom: 0

```
&SYSTEM
  ibrav = 0, nat = 4, ntyp = 4
/
ATOMIC_SPECIES
K 39.10 K.upf
Na 22.99 Na.upf
Mo 95.94 Mo.upf
Pt 195.08 Pt.upf
CELL_PARAMETERS angstrom
0.000 3.528 3.528
3.528 0.000 3.528
3.528 3.528 0.000
ATOMIC_POSITIONS crystal
K 0.000 0.000 0.000
Na 0.250 0.250 0.250
Mo 0.750 0.750 0.750
Pt 0.500 0.500 0.500
```

(19)
Material: KNaMoPt
Method: DFT, PBE
State: relaxed Values from VASP.

Calculated values
Excess energy over the best structure of this formula in the dataset in meV per atom: 289

```
&SYSTEM
  ibrav = 0, nat = 4, ntyp = 4
/
ATOMIC_SPECIES
K 39.10 K.upf
Na 22.99 Na.upf
Mo 95.94 Mo.upf
Pt 195.08 Pt.upf
CELL_PARAMETERS angstrom
0.000 3.616 3.616
3.616 0.000 3.616
3.616 3.616 0.000
ATOMIC_POSITIONS crystal
K 0.000 0.000 0.000
Na 0.500 0.500 0.500
Mo 0.250 0.250 0.250
Pt 0.750 0.750 0.750
```

(20)
Material: KNaMoPt
Method: DFT, PBE
State: relaxed Values from VASP.

Calculated values
Excess energy over the best structure of this formula in the dataset in meV per atom: 1

```
&SYSTEM
  ibrav = 0, nat = 4, ntyp = 4
/
ATOMIC_SPECIES
K 39.10 K.upf
Na 22.99 Na.upf
Mo 95.94 Mo.upf
Pt 195.08 Pt.upf
CELL_PARAMETERS angstrom
0.000 3.554 3.554
3.554 0.000 3.554
3.554 3.554 0.000
ATOMIC_POSITIONS crystal
K 0.000 0.000 0.000
Na 0.750 0.750 0.750
Mo 0.500 0.500 0.500
Pt 0.250 0.250 0.250
```